The following is a DFT calculation (PBE) of crystalline NaTlSn at its relaxed geometry.

Results
N(E_F)	2.49	states/eV per cell
calculated density	6.63	g/cm³
energy	-2.6831	eV per atom
formation energy from the elements	-0.12	eV per atom

Lattice parameters (Å, degrees): 11.4200 6.0861 6.0861 138.41 137.35 42.65
With the nearest neighbours (Å) after each atom.
Atoms (fractional coordinates):
Tl 0.5876 0.5747 0.4253  3 Sn 3.33-3.57, 5 Na 3.40-3.53, 3 Tl 3.47-3.50
Tl 0.4124 0.4253 0.5747  3 Sn 3.33-3.57, 5 Na 3.40-3.53, 3 Tl 3.47-3.50
Na 0.2364 0.2737 0.7263  5 Tl 3.40-3.53, 5 Sn 3.42-3.48, 1 Na 3.45
Sn 0.9222 0.8902 0.1098  2 Sn 3.01, 2 Tl 3.33
Na 0.7636 0.7263 0.2737  5 Tl 3.40-3.53, 5 Sn 3.42-3.48, 1 Na 3.45
Sn 0.0778 0.1098 0.8902  2 Sn 3.01, 2 Tl 3.33